Here is MnFe2RhSe after structural relaxation from Alexandria via LeMat-Bulk. Energies are from PBE.

Values from the calculation:
**Raw formation energy**: 1.0267 eV per atom
**E**: -6.359 eV per atom

Cell lengths 4.6850, 4.6850, 4.6194 Å; angles 90.00, 90.00, 90.00 degrees
Space group P4/mmm (No. 123)
Asymmetric unit:
1 Mn 0.0000 0.0000 0.0000 [1 per cell]
2 Fe 0.0000 0.5000 0.5000 [2 per cell]
3 Rh 0.5000 0.5000 0.5000 [1 per cell]
4 Se 0.5000 0.5000 0.0000 [1 per cell]